TlGaN2O: relaxed, GGA-PBE.

Output
- DOS at the Fermi energy: 2.29 states/eV/f.u.
- Raw formation energy: 747 kJ/mol of formula units
- ρ: 7.70 Mg/m³
- Space-group type: P4/mmm (123)
- Magnetic moment: 0.095 μB per atom

a = 4.369 Å, b = 4.369 Å, c = 3.594 Å
α = 90.00°, β = 90.00°, γ = 90.00°
Element x y z (fractional)
Tl 0.000 0.000 0.000
Ga 0.500 0.500 0.000
N 0.000 0.500 0.500
N 0.500 0.000 0.500
O 0.500 0.500 0.500